<one>
RbBS2Cl, relaxed, DFT PBE; spin magnetization = 0.4 μB per formula unit; symmetry = No. 123
1.0
4.1674 0.0000 0.0000
0.0000 4.1674 0.0000
0.0000 0.0000 6.8660
Rb B S Cl
1 1 2 1
Direct
0.0000 0.0000 0.0000
0.5000 0.5000 0.5000
0.0000 0.5000 0.5000
0.5000 0.0000 0.5000
0.5000 0.5000 0.0000

=====

<two>
RbBS2Cl, relaxed, DFT PBE; spin magnetization = 3.0 μB per formula unit; symmetry = No. 123
1.0
6.2417 0.0000 0.0000
0.0000 6.2417 0.0000
0.0000 0.0000 6.0811
Rb B S Cl
1 1 2 1
Direct
0.0000 0.0000 0.0000
0.5000 0.5000 0.5000
0.0000 0.5000 0.0000
0.5000 0.0000 0.0000
0.0000 0.0000 0.5000

=====

So which one wins? Going from most stable to least: <one>, <two>.

=====

<one>
ReBS2Cl, relaxed, DFT PBE; spin magnetization = 0.0 μB per formula unit; symmetry = No. 123
1.0
4.1116 0.0000 0.0000
0.0000 4.1116 0.0000
0.0000 0.0000 4.0495
Re B S Cl
1 1 2 1
Direct
0.0000 0.0000 0.0000
0.5000 0.5000 0.5000
0.0000 0.5000 0.5000
0.5000 0.0000 0.5000
0.5000 0.5000 0.0000

=====

<two>
ReBS2Cl, relaxed, DFT PBE; spin magnetization = 0.0 μB per formula unit; symmetry = No. 123
1.0
4.5365 0.0000 0.0000
0.0000 4.5365 0.0000
0.0000 0.0000 5.1424
Re B S Cl
1 1 2 1
Direct
0.0000 0.0000 0.0000
0.5000 0.5000 0.5000
0.0000 0.5000 0.0000
0.5000 0.0000 0.0000
0.0000 0.0000 0.5000

=====

So which one wins? Going from most stable to least: <two>, <one>.

=====

<one>
BRhS2Cl, relaxed, DFT PBE; spin magnetization = 0.0 μB per formula unit; symmetry = No. 123
1.0
4.2500 0.0000 0.0000
0.0000 4.2500 0.0000
0.0000 0.0000 4.0136
B Rh S Cl
1 1 2 1
Direct
0.0000 0.0000 0.0000
0.5000 0.5000 0.5000
0.0000 0.5000 0.0000
0.5000 0.0000 0.0000
0.0000 0.0000 0.5000

=====

<two>
BRhS2Cl, relaxed, DFT PBE; spin magnetization = 1.1 μB per formula unit; symmetry = No. 123
1.0
4.5874 0.0000 0.0000
0.0000 4.5874 0.0000
0.0000 0.0000 4.9790
B Rh S Cl
1 1 2 1
Direct
0.0000 0.0000 0.0000
0.5000 0.5000 0.5000
0.0000 0.5000 0.5000
0.5000 0.0000 0.5000
0.5000 0.5000 0.0000

=====

So which one wins? Going from most stable to least: <one>, <two>.

=====

<one>
B3RuCl, relaxed, DFT PBE; spin magnetization = 0.0 μB per formula unit; symmetry = No. 221
1.0
4.1550 0.0000 0.0000
0.0000 4.1550 0.0000
0.0000 0.0000 4.1550
B Ru Cl
3 1 1
Direct
0.0000 0.0000 0.5000
0.0000 0.5000 0.0000
0.5000 0.0000 0.0000
0.0000 0.0000 0.0000
0.5000 0.5000 0.5000

=====

<two>
B3RuCl, relaxed, DFT PBE; spin magnetization = 1.6 μB per formula unit; symmetry = No. 221
1.0
3.8098 0.0000 0.0000
0.0000 3.8098 0.0000
0.0000 0.0000 3.8098
B Ru Cl
3 1 1
Direct
0.0000 0.0000 0.5000
0.0000 0.5000 0.0000
0.5000 0.0000 0.0000
0.5000 0.5000 0.5000
0.0000 0.0000 0.0000

=====

So which one wins? Going from most stable to least: <one>, <two>.

=====

<one>
BRuCl2, relaxed, DFT PBE; spin magnetization = 0.0 μB per formula unit; symmetry = No. 122
1.0
-2.9118 2.9118 4.8336
2.9118 -2.9118 4.8336
2.9118 2.9118 -4.8336
B Ru Cl
2 2 4
Direct
0.0000 0.0000 0.0000
0.7500 0.2500 0.5000
0.2500 0.7500 0.5000
0.5000 0.5000 0.0000
0.1436 0.6250 0.0186
0.3750 0.3936 0.5186
0.6064 0.1250 0.9814
0.8750 0.8564 0.4814

=====

<two>
BRuCl2, relaxed, DFT PBE; spin magnetization = 0.0 μB per formula unit; symmetry = No. 166
1.0
1.5450 0.8920 7.1405
-1.5450 0.8920 7.1405
0.0000 -1.7840 7.1405
B Ru Cl
1 1 2
Direct
0.0000 0.0000 0.0000
0.5000 0.5000 0.5000
0.3957 0.3957 0.3957
0.6043 0.6043 0.6043

=====

So which one wins? Going from most stable to least: <two>, <one>.

=====

<one>
BRuCl3, relaxed, DFT PBE; spin magnetization = 1.1 μB per formula unit; symmetry = No. 221
1.0
4.7923 0.0000 0.0000
0.0000 4.7923 0.0000
0.0000 0.0000 4.7923
B Ru Cl
1 1 3
Direct
0.0000 0.0000 0.0000
0.5000 0.5000 0.5000
0.0000 0.5000 0.5000
0.5000 0.0000 0.5000
0.5000 0.5000 0.0000

=====

<two>
BRuCl3, relaxed, DFT PBE; spin magnetization = 3.2 μB per formula unit; symmetry = No. 221
1.0
4.4466 0.0000 0.0000
0.0000 4.4466 0.0000
0.0000 0.0000 4.4466
B Ru Cl
1 1 3
Direct
0.0000 0.0000 0.0000
0.5000 0.5000 0.5000
0.0000 0.0000 0.5000
0.0000 0.5000 0.0000
0.5000 0.0000 0.0000

=====

So which one wins? Going from most stable to least: <one>, <two>.

=====

<one>
BRuSCl2, relaxed, DFT PBE; spin magnetization = 0.0 μB per formula unit; symmetry = No. 123
1.0
4.9649 0.0000 0.0000
0.0000 4.9649 0.0000
0.0000 0.0000 4.3840
B Ru S Cl
1 1 1 2
Direct
0.0000 0.0000 0.0000
0.5000 0.5000 0.5000
0.5000 0.5000 0.0000
0.0000 0.5000 0.5000
0.5000 0.0000 0.5000

=====

<two>
BRuSCl2, relaxed, DFT PBE; spin magnetization = 3.3 μB per formula unit; symmetry = No. 123
1.0
4.1966 0.0000 0.0000
0.0000 4.1966 0.0000
0.0000 0.0000 4.5542
B Ru S Cl
1 1 1 2
Direct
0.0000 0.0000 0.0000
0.5000 0.5000 0.5000
0.0000 0.0000 0.5000
0.0000 0.5000 0.0000
0.5000 0.0000 0.0000

=====

So which one wins? Going from most stable to least: <one>, <two>.